Entry 1:
Entry from Alexandria via LeMat-Bulk: TiNb2S5 after structural relaxation (PBE-GGA).

Properties
Formation energy from raw total energies, eV per formula unit: -7.9
Fermi-level density of states, states/eV per cell: 10.04
M_tot, μB per formula unit: 0.00

Cell and atoms, written as CIF:
```
data_TiNb2S5
_cell_length_a 4.847
_cell_length_b 6.510
_cell_length_c 11.187
_cell_angle_alpha 90.00
_cell_angle_beta 90.00
_cell_angle_gamma 111.86
_space_group_name_H-M_alt 'P 1'
_space_group_IT_number 1
_space_group_name_Hall 'P 1'
loop_
_atom_site_label
_atom_site_fract_x
_atom_site_fract_y
_atom_site_fract_z
S1 0.657 0.314 0.588
S2 0.343 0.686 0.412
S3 0.259 0.519 0.750
S4 0.957 0.914 0.882
S5 0.343 0.686 0.088
S6 0.043 0.086 0.382
S7 0.957 0.914 0.618
S8 0.741 0.481 0.250
S9 0.657 0.314 0.912
S10 0.043 0.086 0.118
Nb1 0.827 0.654 0.035
Nb2 0.173 0.346 0.535
Nb3 0.827 0.654 0.465
Nb4 0.173 0.346 0.965
Ti1 0.807 0.613 0.750
Ti2 0.193 0.387 0.250
```

=====

Entry 2:
Entry from Alexandria via LeMat-Bulk: PmZn3Rh2 after structural relaxation (PBE-GGA).

Properties
Final energy, eV for the cell shown: -80.37
Fermi-level density of states, states/eV per cell: 7.71
M_tot, μB per formula unit: 0.00

Cell and atoms, written as CIF:
```
data_PmZn3Rh2
_cell_length_a 4.158
_cell_length_b 9.373
_cell_length_c 9.373
_cell_angle_alpha 120.00
_cell_angle_beta 90.00
_cell_angle_gamma 90.00
_space_group_name_H-M_alt 'P 1'
_space_group_IT_number 1
_space_group_name_Hall 'P 1'
loop_
_atom_site_label
_atom_site_fract_x
_atom_site_fract_y
_atom_site_fract_z
Zn1 0.000 0.291 0.291
Zn2 0.000 0.291 0.000
Zn3 0.000 0.709 0.709
Zn4 0.000 0.000 0.709
Zn5 0.500 0.000 0.500
Zn6 0.000 0.000 0.291
Zn7 0.000 0.709 0.000
Zn8 0.500 0.500 0.000
Zn9 0.500 0.500 0.500
Rh1 0.500 0.373 0.187
Rh2 0.500 0.187 0.373
Rh3 0.500 0.627 0.813
Rh4 0.500 0.813 0.627
Rh5 0.500 0.813 0.187
Rh6 0.500 0.187 0.813
Pm1 0.000 0.667 0.333
Pm2 0.500 0.000 0.000
Pm3 0.000 0.333 0.667
```

=====

Entry 3:
Entry from Alexandria via LeMat-Bulk: Sm3SbAs after structural relaxation (PBE-GGA).

Properties
Formation energy from raw total energies, eV per formula unit: -5.5
Fermi-level density of states, states/eV per cell: 18.86
M_tot, μB per formula unit: 0.00

Cell and atoms, written as CIF:
```
data_Sm3SbAs
_cell_length_a 4.312
_cell_length_b 8.416
_cell_length_c 15.972
_cell_angle_alpha 90.00
_cell_angle_beta 90.00
_cell_angle_gamma 90.00
_space_group_name_H-M_alt 'P 1'
_space_group_IT_number 1
_space_group_name_Hall 'P 1'
loop_
_atom_site_label
_atom_site_fract_x
_atom_site_fract_y
_atom_site_fract_z
Sb1 0.750 0.881 0.804
Sb2 0.250 0.119 0.196
Sb3 0.750 0.381 0.696
Sb4 0.250 0.619 0.304
Sm1 0.750 0.148 0.044
Sm2 0.750 0.012 0.607
Sm3 0.250 0.988 0.393
Sm4 0.750 0.334 0.285
Sm5 0.750 0.648 0.456
Sm6 0.750 0.834 0.215
Sm7 0.250 0.352 0.544
Sm8 0.250 0.488 0.107
Sm9 0.250 0.166 0.785
Sm10 0.250 0.666 0.715
Sm11 0.750 0.512 0.893
Sm12 0.250 0.852 0.956
As1 0.750 0.204 0.451
As2 0.750 0.704 0.049
As3 0.250 0.796 0.549
As4 0.250 0.296 0.951
```

=====

Entry 4:
Entry from Alexandria via LeMat-Bulk: PmNd4Er3Se8 after structural relaxation (PBE-GGA).

Properties
Formation energy from raw total energies, eV per formula unit: -28.5
Fermi-level density of states, states/eV per cell: 9.04
M_tot, μB per formula unit: 0.00

Cell and atoms, written as CIF:
```
data_PmNd4Er3Se8
_cell_length_a 8.230
_cell_length_b 8.400
_cell_length_c 8.231
_cell_angle_alpha 119.36
_cell_angle_beta 120.00
_cell_angle_gamma 90.00
_space_group_name_H-M_alt 'P 1'
_space_group_IT_number 1
_space_group_name_Hall 'P 1'
loop_
_atom_site_label
_atom_site_fract_x
_atom_site_fract_y
_atom_site_fract_z
Se1 0.751 0.264 0.502
Se2 0.743 0.731 0.487
Se3 0.257 0.269 0.513
Se4 0.249 0.736 0.498
Se5 0.751 0.264 0.013
Se6 0.738 0.736 0.987
Se7 0.249 0.736 0.987
Se8 0.262 0.264 0.013
Er1 0.500 0.500 0.500
Er2 0.500 0.500 0.000
Er3 0.000 0.500 0.500
Nd1 0.000 0.000 0.500
Nd2 0.000 0.000 0.000
Nd3 0.500 0.000 0.500
Nd4 0.500 0.000 0.000
Pm1 0.000 0.500 0.000
```

=====

Entry 5:
Entry from Alexandria via LeMat-Bulk: Cd6In8Pb after structural relaxation (PBE-GGA).

Properties
Final energy, eV for the cell shown: -30.21
Fermi-level density of states, states/eV per cell: 4.03
M_tot, μB per formula unit: 0.00

Cell and atoms, written as CIF:
```
data_Cd6In8Pb
_cell_length_a 8.268
_cell_length_b 8.268
_cell_length_c 8.337
_cell_angle_alpha 60.27
_cell_angle_beta 60.27
_cell_angle_gamma 60.00
_space_group_name_H-M_alt 'P 1'
_space_group_IT_number 1
_space_group_name_Hall 'P 1'
loop_
_atom_site_label
_atom_site_fract_x
_atom_site_fract_y
_atom_site_fract_z
Cd1 0.591 0.147 0.836
Cd2 0.426 0.591 0.836
Cd3 0.409 0.853 0.164
Cd4 0.853 0.574 0.164
Cd5 0.574 0.409 0.164
Cd6 0.147 0.426 0.836
In1 0.126 0.634 0.394
In2 0.155 0.874 0.606
In3 0.366 0.155 0.606
In4 0.260 0.260 0.220
In5 0.874 0.366 0.606
In6 0.740 0.740 0.780
In7 0.845 0.126 0.394
In8 0.634 0.845 0.394
Pb1 0.000 0.000 0.000
```

=====

Entry 6:
Entry from Alexandria via LeMat-Bulk: Pa2TlTcO8 after structural relaxation (PBE-GGA).

Properties
Formation energy from raw total energies, eV per formula unit: -29.2
Fermi-level density of states, states/eV per cell: 1.15
M_tot, μB per formula unit: 2.05

Cell and atoms, written as CIF:
```
data_Pa2TlTcO8
_cell_length_a 5.004
_cell_length_b 4.998
_cell_length_c 7.152
_cell_angle_alpha 90.00
_cell_angle_beta 90.00
_cell_angle_gamma 88.58
_space_group_name_H-M_alt 'P 1'
_space_group_IT_number 1
_space_group_name_Hall 'P 1'
loop_
_atom_site_label
_atom_site_fract_x
_atom_site_fract_y
_atom_site_fract_z
O1 0.806 0.195 0.794
O2 0.703 0.703 0.000
O3 0.330 0.329 0.500
O4 0.806 0.195 0.206
O5 0.670 0.671 0.500
O6 0.194 0.805 0.206
O7 0.297 0.297 0.000
O8 0.194 0.805 0.794
Tl1 0.000 0.000 0.500
Pa1 0.500 0.500 0.246
Pa2 0.500 0.500 0.754
Tc1 0.000 0.000 0.000
```

=====

Entry 7:
Entry from Alexandria via LeMat-Bulk: NiGePd2 after structural relaxation (PBE-GGA).

Properties
Final energy, eV for the cell shown: -41.66
Fermi-level density of states, states/eV per cell: 4.82
M_tot, μB per formula unit: 0.00

Cell and atoms, written as CIF:
```
data_NiGePd2
_cell_length_a 3.738
_cell_length_b 3.738
_cell_length_c 9.243
_cell_angle_alpha 78.33
_cell_angle_beta 78.33
_cell_angle_gamma 90.00
_space_group_name_H-M_alt 'P 1'
_space_group_IT_number 1
_space_group_name_Hall 'P 1'
loop_
_atom_site_label
_atom_site_fract_x
_atom_site_fract_y
_atom_site_fract_z
Ni1 0.500 0.500 0.000
Ni2 0.250 0.750 0.500
Pd1 0.375 0.376 0.750
Pd2 0.126 0.625 0.250
Pd3 0.875 0.874 0.750
Pd4 0.624 0.125 0.250
Ge1 0.750 0.250 0.500
Ge2 0.000 0.000 0.000
```

=====

Entry 8:
Entry from Alexandria via LeMat-Bulk: CsSbP3 after structural relaxation (PBE-GGA).

Properties
Formation energy from raw total energies, eV per formula unit: 10.3
Fermi-level density of states, states/eV per cell: 4.84
M_tot, μB per formula unit: 0.00

Cell and atoms, written as CIF:
```
data_CsSbP3
_cell_length_a 5.384
_cell_length_b 5.384
_cell_length_c 5.384
_cell_angle_alpha 90.00
_cell_angle_beta 90.00
_cell_angle_gamma 90.00
_space_group_name_H-M_alt 'P 1'
_space_group_IT_number 1
_space_group_name_Hall 'P 1'
loop_
_atom_site_label
_atom_site_fract_x
_atom_site_fract_y
_atom_site_fract_z
P1 0.000 0.000 0.500
P2 0.500 0.000 0.000
P3 0.000 0.500 0.000
Cs1 0.000 0.000 0.000
Sb1 0.500 0.500 0.500
```

=====

Entry 9:
Entry from Alexandria via LeMat-Bulk: RbIF2 after structural relaxation (PBE-GGA).

Properties
Formation energy from raw total energies, eV per formula unit: -7.5
Fermi-level density of states, states/eV per cell: 0.00
M_tot, μB per formula unit: 0.00

Cell and atoms, written as CIF:
```
data_RbIF2
_cell_length_a 4.656
_cell_length_b 4.656
_cell_length_c 12.937
_cell_angle_alpha 90.00
_cell_angle_beta 90.00
_cell_angle_gamma 120.00
_space_group_name_H-M_alt 'P 1'
_space_group_IT_number 1
_space_group_name_Hall 'P 1'
loop_
_atom_site_label
_atom_site_fract_x
_atom_site_fract_y
_atom_site_fract_z
I1 0.667 0.333 0.750
I2 0.333 0.667 0.250
F1 0.333 0.667 0.415
F2 0.667 0.333 0.585
F3 0.667 0.333 0.915
F4 0.333 0.667 0.085
Rb1 0.000 0.000 0.000
Rb2 0.000 0.000 0.500
```

=====

Entry 10:
Entry from Alexandria via LeMat-Bulk: La4Nd3Pd2 after structural relaxation (PBE-GGA).

Properties
Final energy, eV for the cell shown: -47.17
Fermi-level density of states, states/eV per cell: 13.30
M_tot, μB per formula unit: 0.00

Cell and atoms, written as CIF:
```
data_La4Nd3Pd2
_cell_length_a 3.902
_cell_length_b 9.444
_cell_length_c 8.912
_cell_angle_alpha 112.52
_cell_angle_beta 102.64
_cell_angle_gamma 90.00
_space_group_name_H-M_alt 'P 1'
_space_group_IT_number 1
_space_group_name_Hall 'P 1'
loop_
_atom_site_label
_atom_site_fract_x
_atom_site_fract_y
_atom_site_fract_z
Nd1 0.000 0.500 0.000
Nd2 0.072 0.180 0.144
Nd3 0.928 0.820 0.856
La1 0.372 0.118 0.744
La2 0.628 0.882 0.256
La3 0.767 0.335 0.535
La4 0.233 0.665 0.465
Pd1 0.382 0.553 0.764
Pd2 0.618 0.447 0.236
```

=====

Entry 11:
Entry from Alexandria via LeMat-Bulk: BaMnPb after structural relaxation (PBE-GGA).

Properties
Final energy, eV for the cell shown: -14.76
Fermi-level density of states, states/eV per cell: 2.74
M_tot, μB per formula unit: 4.12

Cell and atoms, written as CIF:
```
data_BaMnPb
_cell_length_a 4.888
_cell_length_b 4.888
_cell_length_c 4.885
_cell_angle_alpha 90.00
_cell_angle_beta 90.00
_cell_angle_gamma 120.00
_space_group_name_H-M_alt 'P 1'
_space_group_IT_number 1
_space_group_name_Hall 'P 1'
loop_
_atom_site_label
_atom_site_fract_x
_atom_site_fract_y
_atom_site_fract_z
Ba1 0.000 0.000 0.000
Pb1 0.333 0.667 0.500
Mn1 0.667 0.333 0.500
```

=====

Entry 12:
Entry from Alexandria via LeMat-Bulk: HfAlC after structural relaxation (PBE-GGA).

Properties
Final energy, eV for the cell shown: -96.35
Fermi-level density of states, states/eV per cell: 4.38
M_tot, μB per formula unit: 0.00

Cell and atoms, written as CIF:
```
data_HfAlC
_cell_length_a 6.517
_cell_length_b 8.042
_cell_length_c 3.220
_cell_angle_alpha 90.00
_cell_angle_beta 90.00
_cell_angle_gamma 90.00
_space_group_name_H-M_alt 'P 1'
_space_group_IT_number 1
_space_group_name_Hall 'P 1'
loop_
_atom_site_label
_atom_site_fract_x
_atom_site_fract_y
_atom_site_fract_z
Al1 0.719 0.000 0.500
Al2 0.281 0.000 0.500
Al3 0.219 0.500 0.500
Al4 0.781 0.500 0.500
Hf1 0.500 0.286 0.000
Hf2 0.000 0.214 0.000
Hf3 0.500 0.714 0.000
Hf4 0.000 0.786 0.000
C1 0.750 0.250 0.500
C2 0.750 0.750 0.500
C3 0.250 0.250 0.500
C4 0.250 0.750 0.500
```

=====

The V results, record by record, are as follows: 20.477; 17.575; 28.983; 25.392; 26.980; 14.902; 15.468; 31.213; 30.356; 32.744; 33.690; 14.066 A^3/atom.